Record 1
A geometry-optimized ZnCd2Re structure, computed with PBE-GGA.

Values from the calculation:
- total energy (Ry/atom) = -0.2513
- energy of formation from the pure elements (meV/atom) = 469

Unit cell a=2.836 b=2.836 c=9.518 alpha=90.00 beta=90.00 gamma=112.88
Positions (direct):
1 Zn 0.000 0.000 0.000
2 Cd 0.500 0.500 0.248
3 Cd 0.500 0.500 0.752
4 Re 0.000 0.000 0.500

=====

Record 2
A geometry-optimized ZnCd2Re structure, computed with PBE-GGA.

Values from the calculation:
- total energy (Ry/atom) = -0.2480
- energy of formation from the pure elements (meV/atom) = 513

Unit cell a=5.681 b=5.681 c=5.681 alpha=150.03 beta=130.34 gamma=59.10
Positions (direct):
1 Zn 0.000 0.000 0.000
2 Cd 0.246 0.746 0.500
3 Cd 0.754 0.254 0.500
4 Re 0.500 0.500 0.000

=====

Record 3
A geometry-optimized ZnCdRe structure, computed with PBE-GGA.

Values from the calculation:
- total energy (Ry/atom) = -0.3272
- energy of formation from the pure elements (meV/atom) = 428

Unit cell a=7.402 b=7.207 c=2.758 alpha=83.13 beta=75.16 gamma=21.71
Positions (direct):
1 Zn 0.000 0.000 0.000
2 Cd 0.327 0.327 0.673
3 Re 0.651 0.651 0.349